The following is a GGA-PBE calculation of a relaxed structure of Sm2Fe15Co2, from Alexandria.

Values from the calculation:
E above lowest polymorph in meV/atom: 31.4
Volume in Å³/f.u.: 260
Symmetry: R-3m (166)
Energy relative to the elements in kJ/mol of formula units: 40

Structure (CIF):
```
data_Sm2Fe15Co2
_cell_length_a 6.433
_cell_length_b 6.433
_cell_length_c 6.433
_cell_angle_alpha 82.73
_cell_angle_beta 82.73
_cell_angle_gamma 82.73
_space_group_name_H-M_alt 'P 1'
_space_group_IT_number 1
loop_
_space_group_symop_operation_xyz
'x,y,z'
loop_
_atom_site_label
_atom_site_type_symbol
_atom_site_fract_x
_atom_site_fract_y
_atom_site_fract_z
Sm1 Sm 0.159 0.159 0.159
Sm2 Sm 0.841 0.841 0.841
Fe1 Fe 0.000 0.500 0.500
Fe2 Fe 0.159 0.159 0.655
Fe3 Fe 0.159 0.655 0.159
Fe4 Fe 0.206 0.500 0.794
Fe5 Fe 0.206 0.794 0.500
Fe6 Fe 0.345 0.841 0.841
Fe7 Fe 0.500 0.000 0.500
Fe8 Fe 0.500 0.206 0.794
Fe9 Fe 0.500 0.500 0.000
Fe10 Fe 0.500 0.794 0.206
Fe11 Fe 0.655 0.159 0.159
Fe12 Fe 0.794 0.206 0.500
Fe13 Fe 0.794 0.500 0.206
Fe14 Fe 0.841 0.345 0.841
Fe15 Fe 0.841 0.841 0.345
Co1 Co 0.407 0.407 0.407
Co2 Co 0.593 0.593 0.593
```



The following is a GGA-PBE calculation of a relaxed structure of Sm2FeCo2, from Alexandria.

Values from the calculation:
Volume in Å³/f.u.: 93
Symmetry: C2/c (15)
Energy relative to the elements in kJ/mol of formula units: -31

Structure (CIF):
```
data_Sm2FeCo2
_cell_length_a 5.397
_cell_length_b 5.397
_cell_length_c 7.461
_cell_angle_alpha 100.81
_cell_angle_beta 100.81
_cell_angle_gamma 61.43
_space_group_name_H-M_alt 'P 1'
_space_group_IT_number 1
loop_
_space_group_symop_operation_xyz
'x,y,z'
loop_
_atom_site_label
_atom_site_type_symbol
_atom_site_fract_x
_atom_site_fract_y
_atom_site_fract_z
Sm1 Sm 0.025 0.275 0.151
Sm2 Sm 0.275 0.025 0.651
Sm3 Sm 0.725 0.975 0.349
Sm4 Sm 0.975 0.725 0.849
Fe1 Fe 0.389 0.611 0.250
Fe2 Fe 0.611 0.389 0.750
Co1 Co 0.239 0.502 0.498
Co2 Co 0.498 0.761 0.002
Co3 Co 0.502 0.239 0.998
Co4 Co 0.761 0.498 0.502
```